Record 1
LaTi2Re2 | GGA-PBE | optimized geometry

The structure belongs to space group I4/mmm (No. 139); the cell edges are 4.227, 4.227 and 11.350 Å and the angles 90.00°, 90.00° and 90.00°. The distinct sites, in fractional coordinates, are La at (0.000, 0.000, 0.000), Ti at (0.000, 0.500, 0.250) and Re at (0.000, 0.000, 0.386).

For the relative energy among the computed polymorphs, the calculation gives 0 meV/atom. The calculation puts the calculated formation energy at 0.04 eV/f.u.

---

Record 2
Co3BC | GGA-PBE | optimized geometry

The structure belongs to space group Pm-3m (No. 221); the cell edges are 3.619, 3.619 and 3.619 Å and the angles 90.00°, 90.00° and 90.00°. The distinct sites, in fractional coordinates, are Co at (0.000, 0.000, 0.500), B at (0.500, 0.500, 0.500) and C at (0.000, 0.000, 0.000).

For the relative energy among the computed polymorphs, the calculation gives 0 meV/atom. The calculation puts the calculated formation energy at 2.41 eV/f.u.

---

Record 3
PtWC3 | GGA-PBE | optimized geometry

The structure belongs to space group Pm-3m (No. 221); the cell edges are 4.084, 4.084 and 4.084 Å and the angles 90.00°, 90.00° and 90.00°. The distinct sites, in fractional coordinates, are Pt at (0.000, 0.000, 0.000), W at (0.500, 0.500, 0.500) and C at (0.000, 0.500, 0.500).

For the relative energy among the computed polymorphs, the calculation gives 0 meV/atom. The calculation puts the calculated formation energy at 10.74 eV/f.u.

---

Record 4
HgW2CBr | GGA-PBE | optimized geometry

The structure belongs to space group P4/mmm (No. 123); the cell edges are 5.283, 5.283 and 5.420 Å and the angles 90.00°, 90.00° and 90.00°. The distinct sites, in fractional coordinates, are Hg at (0.000, 0.000, 0.000), W at (0.000, 0.500, 0.000), C at (0.500, 0.500, 0.500) and Br at (0.000, 0.000, 0.500).

The value obtained for the energy relative to the elements, uncorrected is 3.93 eV/atom.

---

Record 5
ZrTl2Rh | GGA-PBE | optimized geometry

The structure belongs to space group C2/m (No. 12); the cell edges are 11.043, 3.360 and 5.156 Å and the angles 90.00°, 117.33° and 90.00°. The distinct sites, in fractional coordinates, are Zr at (0.000, 0.000, 0.000), Tl at (0.230, 0.000, 0.730) and Rh at (0.000, 0.500, 0.500).

The calculation puts the calculated formation energy at 0.06 eV/f.u.

---

Record 6
RbSnAs | GGA-PBE | optimized geometry

The structure belongs to space group R3m (No. 160, hexagonal axes); the cell edges are 4.1905, 4.1905 and 20.5975 Å and the angles 90.00°, 90.00° and 120.00°. The distinct sites, in fractional coordinates, are Rb at (0.0000, 0.0000, 0.0000), Sn at (0.0000, 0.0000, 0.8101) and As at (0.0000, 0.0000, 0.2084).

The calculation puts the calculated formation energy at -1.10 eV/f.u.

---

Record 7
CrTcPb | GGA-PBE | optimized geometry

The structure belongs to space group I4mm (No. 107); the cell edges are 3.034, 3.034 and 11.428 Å and the angles 90.00°, 90.00° and 90.00°. The distinct sites, in fractional coordinates, are Cr at (0.000, 0.000, 0.000), Tc at (0.000, 0.000, 0.389) and Pb at (0.000, 0.000, 0.692).

For the relative energy among the computed polymorphs, the calculation gives 0 meV/atom. The calculation puts the calculated formation energy at 1.59 eV/f.u.

---

Record 8
Hf3CoCl | GGA-PBE | optimized geometry

The structure belongs to space group Pm-3m (No. 221); the cell edges are 4.844, 4.844 and 4.844 Å and the angles 90.00°, 90.00° and 90.00°. The distinct sites, in fractional coordinates, are Hf at (0.000, 0.000, 0.500), Co at (0.000, 0.000, 0.000) and Cl at (0.500, 0.500, 0.500).

The value obtained for the energy relative to the elements, uncorrected is 0.26 eV/atom. For the relative energy among the computed polymorphs, the calculation gives 0 meV/atom.